Entry 1:
Below is a relaxed structure of Hg2Bi, with properties calculated at the PBE level. Values from VASP.

Mass density: 12.7 Mg/m³

Structure (Quantum ESPRESSO input):
```
&SYSTEM
  ibrav = 0, nat = 6, ntyp = 2
/
ATOMIC_SPECIES
Bi 208.98 Bi.upf
Hg 200.59 Hg.upf
ATOMIC_POSITIONS angstrom
Bi 0.000 0.000 0.000
Bi -1.081 -2.872 2.120
Hg -0.323 -5.845 3.949
Hg -3.055 -5.809 2.603
Hg -2.569 -4.145 5.107
Hg -2.703 -7.181 5.300
CELL_PARAMETERS angstrom
-0.268 -6.073 0.385
0.704 -2.744 5.393
-4.760 -2.673 2.702
```

=====

Entry 2:
Below is a relaxed structure of HgBi, with properties calculated at the PBE level. Values from VASP.

Mass density: 11.9 Mg/m³

Structure (Quantum ESPRESSO input):
```
&SYSTEM
  ibrav = 0, nat = 2, ntyp = 2
/
ATOMIC_SPECIES
Bi 208.98 Bi.upf
Hg 200.59 Hg.upf
ATOMIC_POSITIONS angstrom
Bi 1.756 1.014 4.015
Hg 0.000 2.028 1.338
CELL_PARAMETERS angstrom
3.512 0.000 0.000
-1.756 3.041 0.000
0.000 0.000 5.353
```

=====

Entry 3:
Below is a relaxed structure of HgBi2, with properties calculated at the PBE level. Values from VASP.

Mass density: 10.5 Mg/m³

Structure (Quantum ESPRESSO input):
```
&SYSTEM
  ibrav = 0, nat = 6, ntyp = 2
/
ATOMIC_SPECIES
Bi 208.98 Bi.upf
Hg 200.59 Hg.upf
ATOMIC_POSITIONS angstrom
Bi 3.456 3.456 5.760
Bi 3.456 5.760 3.456
Bi 5.760 3.456 3.456
Bi 5.760 5.760 5.760
Hg 0.000 0.000 0.000
Hg 2.304 2.304 2.304
CELL_PARAMETERS angstrom
0.000 4.608 4.608
4.608 0.000 4.608
4.608 4.608 0.000
```

=====

Entry 4:
Below is a relaxed structure of HgBi2, with properties calculated at the PBE level. Values from VASP.

Mass density: 11.1 Mg/m³

Structure (Quantum ESPRESSO input):
```
&SYSTEM
  ibrav = 0, nat = 6, ntyp = 2
/
ATOMIC_SPECIES
Bi 208.98 Bi.upf
Hg 200.59 Hg.upf
ATOMIC_POSITIONS angstrom
Bi 0.450 -2.457 0.748
Bi -1.671 -6.102 4.965
Bi -1.042 -1.938 4.896
Bi 2.272 -5.501 3.019
Hg -0.610 -4.279 2.857
Hg 1.225 0.560 1.101
CELL_PARAMETERS angstrom
-4.284 -2.400 5.990
3.063 -6.159 -0.277
2.451 1.120 2.201
```

=====

Entry 5:
Below is a relaxed structure of Hg2BiIO6, with properties calculated at the PBE level. Values from VASP.

Mass density: 9.5 Mg/m³

Structure (Quantum ESPRESSO input):
```
&SYSTEM
  ibrav = 0, nat = 10, ntyp = 4
/
ATOMIC_SPECIES
Bi 208.98 Bi.upf
Hg 200.59 Hg.upf
I 126.90 I.upf
O 16.00 O.upf
ATOMIC_POSITIONS angstrom
Bi -1.721 -1.480 3.513
Hg -3.524 0.143 0.823
Hg -1.272 -3.361 0.451
I 0.000 0.000 0.000
O -2.947 0.428 3.716
O -0.784 -0.674 1.600
O -1.401 -0.792 -1.020
O -0.494 -3.387 3.310
O -2.658 -2.286 5.425
O -3.395 -2.426 2.294
CELL_PARAMETERS angstrom
-3.973 2.024 3.886
-1.354 -0.259 -5.752
0.532 -4.984 3.140
```

=====

Entry 6:
Below is a relaxed structure of In2HgBi, with properties calculated at the PBE level. Values from VASP.

Mass density: 9.5 Mg/m³

Structure (Quantum ESPRESSO input):
```
&SYSTEM
  ibrav = 0, nat = 4, ntyp = 3
/
ATOMIC_SPECIES
Bi 208.98 Bi.upf
Hg 200.59 Hg.upf
In 114.82 In.upf
ATOMIC_POSITIONS angstrom
Bi -6.229 2.244 -0.204
Hg -3.115 1.122 -0.102
In 0.000 0.000 0.000
In -9.344 3.366 -0.305
CELL_PARAMETERS angstrom
-5.201 -1.436 -0.371
-3.776 2.798 2.677
-3.481 3.126 -2.713
```

=====

Electronic total energy? In order: -1.330 -2.041 -2.626 -2.652 -3.827 -2.429 eV/atom.